(1)
Material: BeTlP2
Method: DFT, PBEsol
State: relaxed

a b c (Å): 3.2367 5.0848 5.0848
angles (deg): 69.12 71.44 71.44
With the nearest neighbours (Å) after each atom.
Element x y z (fractional)
1 Be 0.7005 0.7995 0.7995  2 P 2.18
2 P 0.3047 0.1953 0.1953  2 P 2.27
3 Tl 0.4839 0.5161 0.5161  2 Be 2.72, 2 P 2.96
4 P 0.0109 0.9891 0.9891  2 Be 2.18, 2 P 2.27

Computed properties:
energy relative to the elements: 0.508 eV/atom
M_tot: 0.000 μB per atom
calculated volume: 18.03 Å³/atom
energy above the most stable polymorph in this dataset: 0.0 meV per atom

***

(2)
Material: TiSeIO2
Method: DFT, PBEsol
State: relaxed

a b c (Å): 3.9169 3.9169 5.7987
angles (deg): 90.00 90.00 90.00
With the nearest neighbours (Å) after each atom.
Element x y z (fractional)
1 O 0.0000 0.5000 0.0000  2 Se 1.96
2 Se 0.0000 0.0000 0.0000  4 O 1.96
3 Ti 0.5000 0.5000 0.5000  4 I 2.77
4 O 0.5000 0.0000 0.0000  2 Se 1.96
5 I 0.0000 0.0000 0.5000  4 Ti 2.77, 2 Se 2.90

Computed properties:
M_tot: 0.424 μB per atom
calculated volume: 17.79 Å³/atom
raw formation energy: 0.096 eV per atom

***

(3)
Material: TcHg2Cl
Method: DFT, PBEsol
State: relaxed

a b c (Å): 3.1015 3.1015 8.8658
angles (deg): 90.00 90.00 116.36
With the nearest neighbours (Å) after each atom.
Element x y z (fractional)
1 Tc 0.5000 0.5000 0.5000  4 Hg 2.73
2 Cl 0.5000 0.5000 0.0000  4 Hg 2.78, 4 Cl 3.10
3 Hg 0.0000 0.0000 0.2541  2 Tc 2.73, 2 Cl 2.78
4 Hg 0.0000 0.0000 0.7459  2 Tc 2.73, 2 Cl 2.78

Computed properties:
M_tot: 0.324 μB per atom
calculated volume: 19.10 Å³/atom
energy above the most stable polymorph in this dataset: 239.1 meV per atom
raw formation energy: 0.432 eV per atom

***

(4)
Material: SrTa2Au
Method: DFT, PBEsol
State: relaxed

a b c (Å): 3.2624 3.2624 9.6921
angles (deg): 80.31 80.31 60.00
With the nearest neighbours (Å) after each atom.
Element x y z (fractional)
1 Au 0.4891 0.4891 0.5326  3 Ta 2.80
2 Sr 0.2463 0.2463 0.2612  3 Au 3.19, 6 Sr 3.26, 3 Ta 3.46
3 Ta 0.0147 0.0147 0.9559  3 Ta 2.71
4 Ta 0.7499 0.7499 0.7503  3 Ta 2.71, 3 Au 2.80

Computed properties:
energy relative to the elements: 0.465 eV/atom
M_tot: 0.078 μB per atom
calculated volume: 21.91 Å³/atom
energy above the most stable polymorph in this dataset: 0.0 meV per atom

***

(5)
Material: ReNi2Os
Method: DFT, PBEsol
State: relaxed

a b c (Å): 3.6529 3.6529 4.5190
angles (deg): 113.84 113.84 90.00
With the nearest neighbours (Å) after each atom.
Element x y z (fractional)
1 Os 0.0000 0.0000 0.0000  4 Re 2.58, 8 Ni 2.60
2 Ni 0.7500 0.2500 0.5000  4 Ni 2.58, 4 Re 2.60, 4 Os 2.60
3 Ni 0.2500 0.7500 0.5000  4 Ni 2.58, 4 Re 2.60, 4 Os 2.60
4 Re 0.5000 0.5000 0.0000  4 Os 2.58, 8 Ni 2.60

Computed properties:
energy relative to the elements: 0.119 eV/atom
M_tot: 0.000 μB per atom
calculated volume: 12.37 Å³/atom
energy above the most stable polymorph in this dataset: 117.5 meV per atom

***

(6)
Material: ZrCu2Te
Method: DFT, PBEsol
State: relaxed

a b c (Å): 3.7734 3.8990 5.4006
angles (deg): 111.16 110.45 90.00
With the nearest neighbours (Å) after each atom.
Element x y z (fractional)
1 Cu 0.0264 0.0264 0.0529  2 Cu 2.55, 4 Te 2.72
2 Te 0.5013 0.5013 0.0027  6 Cu 2.72-2.75, 2 Zr 2.96
3 Zr 0.2626 0.7626 0.5253  6 Cu 2.76-2.94, 4 Te 2.96-3.08
4 Cu 0.7096 0.2096 0.4192  2 Cu 2.55, 2 Te 2.75, 4 Zr 2.76

Computed properties:
M_tot: 0.000 μB per atom
calculated volume: 17.18 Å³/atom
raw formation energy: -0.132 eV per atom

***

(7)
Material: La2SbCl
Method: DFT, PBEsol
State: relaxed

a b c (Å): 4.3788 4.3788 6.1733
angles (deg): 90.00 90.00 90.00
With the nearest neighbours (Å) after each atom.
Element x y z (fractional)
1 La 0.5000 0.5000 0.3745  2 Cl 3.08-3.09, 4 Sb 3.10
2 La 0.0000 0.0000 0.8753  2 Sb 3.09, 4 Cl 3.10
3 Sb 0.0000 0.0000 0.3753  6 La 3.09-3.10
4 Cl 0.5000 0.5000 0.8748  6 La 3.08-3.10

Computed properties:
M_tot: 0.000 μB per atom
calculated volume: 29.59 Å³/atom
raw formation energy: -1.405 eV per atom

***

(8)
Material: Cs2InI6O18
Method: DFT, PBEsol
State: relaxed

a b c (Å): 7.7884 7.7882 7.7881
angles (deg): 97.81 97.81 97.81
With the nearest neighbours (Å) after each atom.
Element x y z (fractional)
1 I 0.6968 0.8395 0.1191  3 O 1.82-1.84
2 O 0.7280 0.9637 0.6684  1 I 1.84
3 O 0.6684 0.2280 0.4638  1 I 1.84
4 O 0.0894 0.1967 0.1040  1 I 1.82
5 I 0.1191 0.1968 0.3395  3 O 1.82-1.84
6 O 0.4120 0.7870 0.8939  1 I 1.84
7 O 0.3316 0.7720 0.5362  1 I 1.84
8 I 0.6605 0.3809 0.3032  3 O 1.82-1.84
9 O 0.8960 0.4106 0.3034  1 I 1.82
10 O 0.5880 0.2130 0.1061  1 I 1.84
11 O 0.9106 0.8033 0.8960  1 I 1.82
12 O 0.2720 0.0363 0.3316  1 I 1.84
13 O 0.8939 0.9120 0.2870  1 I 1.84
14 O 0.6966 0.6040 0.0894  1 I 1.82
15 O 0.3034 0.3960 0.9106  1 I 1.82
16 Cs 0.1602 0.6602 0.1602  9 O 3.01-3.20
17 O 0.1061 0.0880 0.7130  1 I 1.84
18 O 0.5362 0.8317 0.2720  1 I 1.84
19 O 0.1040 0.5894 0.6966  1 I 1.82
20 In 0.5000 0.0000 0.5000  6 O 2.13
21 O 0.2870 0.3939 0.4121  1 I 1.84
22 I 0.3032 0.1605 0.8809  3 O 1.82-1.84
23 I 0.8809 0.8032 0.6605  3 O 1.82-1.84
24 O 0.4638 0.1683 0.7280  1 I 1.84
25 I 0.3395 0.6191 0.6968  3 O 1.82-1.84
26 Cs 0.8398 0.3398 0.8398  9 O 3.01-3.20
27 O 0.7130 0.6061 0.5879  1 I 1.84

Computed properties:
M_tot: 0.000 μB per atom
calculated volume: 16.96 Å³/atom
raw formation energy: -0.661 eV per atom

***

(9)
Material: TcIr2Rh
Method: DFT, PBEsol
State: relaxed

a b c (Å): 2.6902 4.6671 4.6671
angles (deg): 109.43 90.00 90.00
With the nearest neighbours (Å) after each atom.
Element x y z (fractional)
1 Ir 0.0000 0.5000 0.0000  4 Ir 2.69-2.70, 4 Tc 2.69, 4 Rh 2.69
2 Tc 0.5000 0.5000 0.5000  2 Tc 2.69, 8 Ir 2.69, 2 Rh 2.70
3 Rh 0.5000 0.0000 0.0000  2 Rh 2.69, 8 Ir 2.69, 2 Tc 2.70
4 Ir 0.0000 0.0000 0.5000  4 Ir 2.69-2.70, 4 Rh 2.69, 4 Tc 2.69

Computed properties:
energy relative to the elements: -0.119 eV/atom
M_tot: 0.000 μB per atom
calculated volume: 13.82 Å³/atom
energy above the most stable polymorph in this dataset: 24.2 meV per atom

***

(10)
Material: LiYGeO4
Method: DFT, PBEsol
State: relaxed

a b c (Å): 5.0454 6.2935 11.0956
angles (deg): 90.00 90.00 90.00
With the nearest neighbours (Å) after each atom.
Element x y z (fractional)
1 Li 0.5000 0.0000 0.5000  6 O 2.20-2.29
2 O 0.2736 0.7500 0.5919  1 Ge 1.73
3 Li 0.0000 0.0000 0.0000  6 O 2.20-2.29
4 O 0.2254 0.4636 0.3364  1 Ge 1.79
5 Ge 0.5696 0.7500 0.0833  4 O 1.73-1.79
6 O 0.7254 0.9636 0.1636  1 Ge 1.79
7 O 0.7767 0.7500 0.4421  1 Ge 1.75
8 O 0.2254 0.0364 0.3364  1 Ge 1.79
9 O 0.2767 0.2500 0.0579  1 Ge 1.75
10 O 0.7254 0.5364 0.1636  1 Ge 1.79
11 Li 0.5000 0.5000 0.5000  6 O 2.20-2.29
12 O 0.2264 0.7500 0.0919  1 Ge 1.73
13 O 0.2233 0.2500 0.5579  1 Ge 1.75
14 Li 0.0000 0.5000 0.0000  6 O 2.20-2.29
15 Ge 0.4304 0.2500 0.9167  4 O 1.73-1.79
16 O 0.7264 0.2500 0.4081  1 Ge 1.73
17 O 0.7233 0.7500 0.9421  1 Ge 1.75
18 O 0.7736 0.2500 0.9081  1 Ge 1.73
19 Y 0.9892 0.2500 0.7266  6 O 2.21-2.32
20 Y 0.5108 0.2500 0.2266  6 O 2.21-2.32
21 Y 0.0108 0.7500 0.2734  6 O 2.21-2.32
22 Y 0.4892 0.7500 0.7734  6 O 2.21-2.32
23 O 0.2746 0.4636 0.8364  1 Ge 1.79
24 O 0.7746 0.5364 0.6636  1 Ge 1.79
25 Ge 0.9304 0.7500 0.5833  4 O 1.73-1.79
26 Ge 0.0696 0.2500 0.4167  4 O 1.73-1.79
27 O 0.2746 0.0364 0.8364  1 Ge 1.79
28 O 0.7746 0.9636 0.6636  1 Ge 1.79

Computed properties:
M_tot: 0.000 μB per atom
calculated volume: 12.58 Å³/atom
raw formation energy: -2.541 eV per atom

***

(11)
Material: TcAsIO2
Method: DFT, PBEsol
State: relaxed

a b c (Å): 3.7973 3.7973 6.0800
angles (deg): 90.00 90.00 90.00
With the nearest neighbours (Å) after each atom.
Element x y z (fractional)
1 I 0.0000 0.0000 0.5000  4 Tc 2.69
2 As 0.0000 0.0000 0.0000  4 O 1.90
3 Tc 0.5000 0.5000 0.5000  4 I 2.69
4 O 0.0000 0.5000 0.0000  2 As 1.90
5 O 0.5000 0.0000 0.0000  2 As 1.90

Computed properties:
M_tot: 0.634 μB per atom
calculated volume: 17.53 Å³/atom
raw formation energy: 0.433 eV per atom

***

(12)
Material: Rb2TiAg
Method: DFT, PBEsol
State: relaxed

a b c (Å): 5.9515 5.9515 5.9515
angles (deg): 60.00 60.00 60.00
With the nearest neighbours (Å) after each atom.
Element x y z (fractional)
1 Ti 0.0000 0.0000 0.0000  8 Rb 3.64
2 Rb 0.7500 0.7500 0.7500  4 Ti 3.64, 4 Ag 3.64
3 Ag 0.5000 0.5000 0.5000  8 Rb 3.64
4 Rb 0.2500 0.2500 0.2500  4 Ti 3.64, 4 Ag 3.64

Computed properties:
energy relative to the elements: 1.122 eV/atom
M_tot: 0.792 μB per atom
calculated volume: 37.26 Å³/atom